HfZr2Al3Ag2Ir | PBE | optimized geometry

Unit cell a=4.1939 b=6.7300 c=6.7300 alpha=119.48 beta=90.00 gamma=90.00
Last column: nearest neighbours and their distance in Å.
Element x y z (fractional)
Hf: 0.0000 0.0000 0.0000  1 Ir 2.68, 4 Ag 2.91
Zr: 0.0000 0.1925 0.5980  1 Ir 2.75, 4 Ag 2.95
Zr: 0.0000 0.5980 0.1925  1 Ir 2.75, 4 Ag 2.95
Al: 0.5000 0.3620 0.3620  2 Ag 2.62, 2 Ir 2.67, 2 Al 2.78
Al: 0.5000 0.5963 0.8366  2 Ir 2.63, 2 Ag 2.63-2.64, 2 Al 2.78-2.79
Al: 0.5000 0.8366 0.5963  2 Ir 2.63, 2 Ag 2.63-2.64, 2 Al 2.78-2.79
Ag: 0.5000 0.2613 0.9332  3 Al 2.62-2.64, 2 Hf 2.91
Ag: 0.5000 0.9332 0.2613  3 Al 2.62-2.64, 2 Hf 2.91
Ir: 0.0000 0.6050 0.6050  6 Al 2.63-2.67, 1 Hf 2.68, 2 Zr 2.75

---

CsLaCdSe3 | PBE | optimized geometry

Unit cell a=9.2031 b=4.4659 c=11.1594 alpha=90.00 beta=109.58 gamma=90.00
Last column: nearest neighbours and their distance in Å.
Element x y z (fractional)
Cs: 0.2411 0.2500 0.2215  6 Se 3.63-3.96
Cs: 0.7589 0.7500 0.7785  6 Se 3.63-3.96
La: 0.1880 0.7500 0.6331  6 Se 2.94-3.25
La: 0.8120 0.2500 0.3669  6 Se 2.94-3.25
Cd: 0.4181 0.2500 0.8868  4 Se 2.63-2.79
Cd: 0.5819 0.7500 0.1132  4 Se 2.63-2.79
Se: 0.0263 0.7500 0.3567  3 La 2.94-3.01
Se: 0.2816 0.7500 0.9411  3 Cd 2.73-2.79
Se: 0.4187 0.2500 0.6513  1 Cd 2.63
Se: 0.5813 0.7500 0.3487  1 Cd 2.63
Se: 0.7184 0.2500 0.0589  3 Cd 2.73-2.79
Se: 0.9737 0.2500 0.6433  3 La 2.94-3.01

---

Ho2SnPbAu2 | PBE | optimized geometry

Unit cell a=4.7356 b=4.7356 c=7.4956 alpha=90.00 beta=90.00 gamma=120.00
Last column: nearest neighbours and their distance in Å.
Element x y z (fractional)
Ho: 0.0000 0.0000 0.0000  3 Au 2.97, 3 Sn 3.22
Ho: 0.0000 0.0000 0.4952  3 Au 3.03, 3 Pb 3.22, 3 Sn 3.39
Sn: 0.6667 0.3333 0.2280  4 Au 2.82-2.88
Pb: 0.3333 0.6667 0.7220  4 Au 2.88-3.01, 3 Ho 3.22
Au: 0.3333 0.6667 0.3208  3 Sn 2.82, 1 Pb 3.01, 3 Ho 3.03
Au: 0.6667 0.3333 0.8438  1 Sn 2.88, 3 Pb 2.88, 3 Ho 2.97

---

Sc2ReBi | PBE | optimized geometry

Unit cell a=6.7999 b=6.7999 c=6.7999 alpha=90.00 beta=90.00 gamma=90.00
Last column: nearest neighbours and their distance in Å.
Element x y z (fractional)
Sc: 0.0000 0.0000 0.0000  4 Re 2.94, 4 Sc 2.94
Sc: 0.0000 0.5000 0.5000  4 Re 2.94, 4 Sc 2.94
Sc: 0.2500 0.2500 0.2500  4 Bi 2.94, 4 Sc 2.94
Sc: 0.2500 0.7500 0.7500  4 Bi 2.94, 4 Sc 2.94
Sc: 0.5000 0.0000 0.5000  4 Re 2.94, 4 Sc 2.94
Sc: 0.5000 0.5000 0.0000  4 Re 2.94, 4 Sc 2.94
Sc: 0.7500 0.2500 0.7500  4 Bi 2.94, 4 Sc 2.94
Sc: 0.7500 0.7500 0.2500  4 Bi 2.94, 4 Sc 2.94
Re: 0.2500 0.2500 0.7500  4 Bi 2.94, 4 Sc 2.94
Re: 0.2500 0.7500 0.2500  4 Bi 2.94, 4 Sc 2.94
Re: 0.7500 0.2500 0.2500  4 Bi 2.94, 4 Sc 2.94
Re: 0.7500 0.7500 0.7500  4 Bi 2.94, 4 Sc 2.94
Bi: 0.0000 0.0000 0.5000  4 Re 2.94, 4 Sc 2.94
Bi: 0.0000 0.5000 0.0000  4 Re 2.94, 4 Sc 2.94
Bi: 0.5000 0.0000 0.0000  4 Re 2.94, 4 Sc 2.94
Bi: 0.5000 0.5000 0.5000  4 Re 2.94, 4 Sc 2.94

---

Na7TaP4 | PBE | optimized geometry

Unit cell a=11.5083 b=8.1397 c=11.4873 alpha=90.00 beta=101.64 gamma=90.00
Last column: nearest neighbours and their distance in Å.
Element x y z (fractional)
Na: 0.0192 0.0751 0.1376  4 P 2.86-3.12, 1 Na 3.09
Na: 0.0192 0.4249 0.6376  4 P 2.86-3.12, 1 Na 3.09
Na: 0.0475 0.1603 0.4303  4 P 2.87-3.08
Na: 0.0475 0.3397 0.9303  4 P 2.87-3.08
Na: 0.1838 0.6872 0.8388  3 P 2.88-3.02, 1 Na 3.09
Na: 0.1838 0.8128 0.3388  3 P 2.88-3.02, 1 Na 3.09
Na: 0.2632 0.0775 0.9202  4 P 2.82-2.90
Na: 0.2632 0.4225 0.4202  4 P 2.82-2.90
Na: 0.3081 0.1741 0.2051  5 P 3.07-3.33, 5 Na 3.19-3.37, 1 Ta 3.31
Na: 0.3081 0.3259 0.7051  5 P 3.07-3.33, 5 Na 3.19-3.37, 1 Ta 3.31
Na: 0.4481 0.6872 0.5732  3 P 2.90-3.25, 1 Na 3.07, 1 Ta 3.24
Na: 0.4481 0.8128 0.0732  3 P 2.90-3.25, 1 Na 3.07, 1 Ta 3.24
Na: 0.4717 0.5938 0.8615  4 P 2.79-2.87, 1 Na 3.07
Na: 0.4717 0.9062 0.3615  4 P 2.79-2.87, 1 Na 3.07
Na: 0.5283 0.0938 0.6385  4 P 2.79-2.87, 1 Na 3.07
Na: 0.5283 0.4062 0.1385  4 P 2.79-2.87, 1 Na 3.07
Na: 0.5519 0.1872 0.9268  3 P 2.90-3.25, 1 Na 3.07, 1 Ta 3.24
Na: 0.5519 0.3128 0.4268  3 P 2.90-3.25, 1 Na 3.07, 1 Ta 3.24
Na: 0.6919 0.6741 0.2949  5 P 3.07-3.33, 5 Na 3.19-3.37, 1 Ta 3.31
Na: 0.6919 0.8259 0.7949  5 P 3.07-3.33, 5 Na 3.19-3.37, 1 Ta 3.31
Na: 0.7368 0.5775 0.5798  4 P 2.82-2.90
Na: 0.7368 0.9225 0.0798  4 P 2.82-2.90
Na: 0.8162 0.1872 0.6612  3 P 2.88-3.02, 1 Na 3.09
Na: 0.8162 0.3128 0.1612  3 P 2.88-3.02, 1 Na 3.09
Na: 0.9525 0.6603 0.0697  4 P 2.87-3.08
Na: 0.9525 0.8397 0.5697  4 P 2.87-3.08
Na: 0.9808 0.5751 0.3624  4 P 2.86-3.12, 1 Na 3.09
Na: 0.9808 0.9249 0.8624  4 P 2.86-3.12, 1 Na 3.09
Ta: 0.2494 0.5631 0.1343  4 P 2.41-2.44
Ta: 0.2494 0.9369 0.6343  4 P 2.41-2.44
Ta: 0.7506 0.0631 0.3657  4 P 2.41-2.44
Ta: 0.7506 0.4369 0.8657  4 P 2.41-2.44
P: 0.0972 0.0938 0.6993  1 Ta 2.41
P: 0.0972 0.4062 0.1993  1 Ta 2.41
P: 0.1850 0.6572 0.5780  1 Ta 2.44
P: 0.1850 0.8428 0.0780  1 Ta 2.44
P: 0.3071 0.0827 0.4721  1 Ta 2.41
P: 0.3071 0.4173 0.9721  1 Ta 2.41
P: 0.4192 0.5809 0.2959  1 Ta 2.41
P: 0.4192 0.9191 0.7959  1 Ta 2.41
P: 0.5808 0.0809 0.2041  1 Ta 2.41
P: 0.5808 0.4191 0.7041  1 Ta 2.41
P: 0.6929 0.5827 0.0279  1 Ta 2.41
P: 0.6929 0.9173 0.5279  1 Ta 2.41
P: 0.8150 0.1572 0.9220  1 Ta 2.44
P: 0.8150 0.3428 0.4220  1 Ta 2.44
P: 0.9028 0.5938 0.8007  1 Ta 2.41
P: 0.9028 0.9062 0.3007  1 Ta 2.41

---

ZrSc2Te2 | PBE | optimized geometry

Unit cell a=4.0485 b=4.0485 c=14.6212 alpha=90.00 beta=90.00 gamma=90.00
Last column: nearest neighbours and their distance in Å.
Element x y z (fractional)
Zr: 0.0000 0.0000 0.0000  8 Te 3.26
Zr: 0.5000 0.5000 0.5000  8 Te 3.26
Sc: 0.0000 0.5000 0.2500  4 Sc 2.86, 4 Te 2.91
Sc: 0.0000 0.5000 0.7500  4 Sc 2.86, 4 Te 2.91
Sc: 0.5000 0.0000 0.2500  4 Sc 2.86, 4 Te 2.91
Sc: 0.5000 0.0000 0.7500  4 Sc 2.86, 4 Te 2.91
Te: 0.0000 0.0000 0.3930  4 Sc 2.91, 1 Te 3.13
Te: 0.0000 0.0000 0.6070  4 Sc 2.91, 1 Te 3.13
Te: 0.5000 0.5000 0.1070  4 Sc 2.91, 1 Te 3.13
Te: 0.5000 0.5000 0.8930  4 Sc 2.91, 1 Te 3.13

---

What are the magnetic moment values for these records? In order: 0.01; 0.00; 0.00; 0.00; 0.00; 0.25 μB/f.u..
What are the VASP energy values for these records? In order: -6.34; -4.26; -4.60; -7.20; -4.04; -5.84 eV per atom.